The following is a PBE calculation of RbAc2Re after structural relaxation, from the Open Quantum Materials Database.

```
RbAc2Re
1.0
4.188 0.000 0.000
-2.094 3.627 0.000
0.000 0.000 12.092
Rb Ac Re
1 2 1
direct
0.000 0.000 0.000
0.000 0.000 0.350
0.000 0.000 0.650
0.667 0.333 0.500
```

Computed properties:
Final energy in eV/atom: -4.77
SG: No. 187
Spin magnetization in μB/cell: 0.0
V in A^3/atom: 45.95